A plane-wave DFT calculation with PBE-GGA was carried out for an optimized crystal structure of NaCu4Pd.

Results
formation energy: 0.03 eV per atom
energy: -22.7 eV/cell
space-group type: F-43m, No. 216

Cell lengths 4.936, 4.936, 4.936 Å; angles 60.00, 60.00, 60.00 degrees
Fractional positions:
Cu 0.625 0.625 0.625
Cu 0.625 0.625 0.124
Cu 0.625 0.124 0.625
Cu 0.124 0.625 0.625
Pd 0.000 0.000 0.000
Na 0.250 0.250 0.250